[1]
NaCrRe3: relaxed, PBE-GGA.

a b c (Å): 4.5201 4.5201 4.5201
angles (deg): 90.00 90.00 90.00
Last column: nearest neighbours and their distance in Å.
Positions (direct):
Re 0.0000 0.5000 0.0000  2 Cr 2.26
Re 0.0000 0.0000 0.5000  2 Cr 2.26
Re 0.5000 0.0000 0.0000  2 Cr 2.26
Na 0.5000 0.5000 0.5000  12 Re 3.20
Cr 0.0000 0.0000 0.0000  6 Re 2.26

Results
Calculated volume: 18.5 A^3/atom
ΔE to the lowest computed polymorph: 0.000 eV/atom
Magnetization: 0.00 μB/f.u.
E_form: 1.6599 eV/atom
Crystal system: cubic

=====

[2]
NaCr3Re: relaxed, PBE-GGA.

a b c (Å): 4.7742 4.7742 4.7742
angles (deg): 90.00 90.00 90.00
Last column: nearest neighbours and their distance in Å.
Positions (direct):
Re 0.0000 0.0000 0.0000  6 Cr 2.39
Na 0.5000 0.5000 0.5000  12 Cr 3.38
Cr 0.0000 0.5000 0.0000  2 Re 2.39
Cr 0.0000 0.0000 0.5000  2 Re 2.39
Cr 0.5000 0.0000 0.0000  2 Re 2.39

Results
Calculated volume: 21.8 A^3/atom
ΔE to the lowest computed polymorph: 0.000 eV/atom
Magnetization: 8.85 μB/f.u.
E_form: 1.2036 eV/atom
Crystal system: cubic

=====

Which of these has the lowest magnetization? NaCrRe3

=====

Look up the calculated volume of the first one. 18.5 A^3/atom

=====

Repeat the second record exactly.
NaCr3Re: relaxed, PBE-GGA.

a b c (Å): 4.7742 4.7742 4.7742
angles (deg): 90.00 90.00 90.00
Last column: nearest neighbours and their distance in Å.
Positions (direct):
Re 0.0000 0.0000 0.0000  6 Cr 2.39
Na 0.5000 0.5000 0.5000  12 Cr 3.38
Cr 0.0000 0.5000 0.0000  2 Re 2.39
Cr 0.0000 0.0000 0.5000  2 Re 2.39
Cr 0.5000 0.0000 0.0000  2 Re 2.39

Results
Calculated volume: 21.8 A^3/atom
ΔE to the lowest computed polymorph: 0.000 eV/atom
Magnetization: 8.85 μB/f.u.
E_form: 1.2036 eV/atom
Crystal system: cubic

=====

ΔE to the lowest computed polymorph of number 1 (NaCrRe3)? 0.000 eV/atom